Entry from Alexandria via LeMat-Bulk: a geometry-optimized PuGeHRu structure (PBE-GGA).

Lattice parameters (Å, degrees): 4.373 4.373 3.698 90.00 90.00 120.00
Fractional positions:
Pu: 0.000 0.000 0.000
Ge: 0.333 0.667 0.500
H: 0.667 0.333 0.000
Ru: 0.667 0.333 0.500

electronic total energy: -8.27 eV per atom
V: 61.2 Å³/f.u.
total moment: 4.71 μB per formula unit